VASP calculation (PBE) on a relaxed SmEuB12 crystal.

## Properties
- DOS at the Fermi energy (states/eV/atom) = 0.357
- total DFT energy (no corrections) (eV per atom) = -7.27
- spin magnetization (μB per cell) = 6.8
- symmetry = Fm-3m
- volume (Å³ per atom) = 10.1
- energy relative to the elements (meV per atom) = -476

Cell: 5.851 5.851 5.851 Å, 60.00 60.00 60.00°
Fractional positions:
Sm 0.000 0.000 0.000
Eu 0.500 0.500 0.500
B 0.100 0.100 0.400
B 0.100 0.400 0.100
B 0.100 0.400 0.400
B 0.400 0.100 0.100
B 0.400 0.100 0.400
B 0.400 0.400 0.100
B 0.600 0.600 0.900
B 0.600 0.900 0.600
B 0.600 0.900 0.900
B 0.900 0.600 0.600
B 0.900 0.600 0.900
B 0.900 0.900 0.600

---

VASP calculation (PBE) on a relaxed Tb3EuB crystal.

## Properties
- DOS at the Fermi energy (states/eV/atom) = 1.308
- total DFT energy (no corrections) (eV per atom) = -6.10
- spin magnetization (μB per cell) = 7.5
- symmetry = Pm-3m
- volume (Å³ per atom) = 28.9
- energy relative to the elements (meV per atom) = 70

Cell: 5.250 5.250 5.250 Å, 90.00 90.00 90.00°
Fractional positions:
Tb 0.000 0.000 0.500
Tb 0.000 0.500 0.000
Tb 0.500 0.000 0.000
Eu 0.500 0.500 0.500
B 0.000 0.000 0.000